Record 1
# Cs2CaAuCl6 (GGA-PBE, relaxed)
data_Cs2CaAuCl6
_chemical_formula_sum 'Cs4 Ca2 Au2 Cl12'
_symmetry_space_group_name_H-M 'I 4/m m m'
_symmetry_Int_Tables_number 139
_symmetry_space_group_name_Hall '-I 4 2'
_cell_length_a 7.3954
_cell_length_b 7.3954
_cell_length_c 11.9549
_cell_angle_alpha 90.00
_cell_angle_beta 90.00
_cell_angle_gamma 90.00
loop_
_atom_site_label
_atom_site_type_symbol
_atom_site_fract_x
_atom_site_fract_y
_atom_site_fract_z
Cs1 Cs 0.0000 0.5000 0.2500
Ca1 Ca 0.0000 0.0000 0.0000
Au1 Au 0.0000 0.0000 0.5000
Cl1 Cl 0.0000 0.0000 0.2225
Cl2 Cl 0.2350 0.2350 0.5000
# - Size of the total moment: 0.9 μB per formula unit
# - Density: 3.63 g/cm3
# - ΔE_f (raw): -1513 kJ/mol of formula units
# - Energy: -3.375 eV per atom
# - Density of states at the Fermi level: 3.95 states/eV per cell

=====

Record 2
# Cs2CaAu2Cl6 (GGA-PBE, relaxed)
data_Cs2CaAu2Cl6
_chemical_formula_sum 'Cs4 Ca2 Au4 Cl12'
_symmetry_space_group_name_H-M 'C 1 2/m 1'
_symmetry_Int_Tables_number 12
_symmetry_space_group_name_Hall '-C 2y'
_cell_length_a 14.1232
_cell_length_b 7.5834
_cell_length_c 8.0745
_cell_angle_alpha 90.00
_cell_angle_beta 122.97
_cell_angle_gamma 90.00
loop_
_atom_site_label
_atom_site_type_symbol
_atom_site_fract_x
_atom_site_fract_y
_atom_site_fract_z
Cs1 Cs 0.2326 0.0000 0.2106
Ca1 Ca 0.0000 0.0000 0.5000
Au1 Au 0.0716 0.5000 0.2237
Cl1 Cl 0.0472 0.2453 0.7841
Cl2 Cl 0.2321 0.0000 0.6698
# - Size of the total moment: 0.0 μB per formula unit
# - Density: 4.18 g/cm3
# - ΔE_f (raw): -1471 kJ/mol of formula units
# - Energy: -3.326 eV per atom
# - Density of states at the Fermi level: 0.00 states/eV per cell

=====

Record 3
# CaAuClF (GGA-PBE, relaxed)
data_CaAuClF
_chemical_formula_sum 'Ca1 Au1 Cl1 F1'
_symmetry_space_group_name_H-M 'P 1'
_symmetry_Int_Tables_number 1
_symmetry_space_group_name_Hall 'P 1'
_cell_length_a 3.6545
_cell_length_b 5.2119
_cell_length_c 6.6090
_cell_angle_alpha 111.35
_cell_angle_beta 105.86
_cell_angle_gamma 90.07
loop_
_atom_site_label
_atom_site_type_symbol
_atom_site_fract_x
_atom_site_fract_y
_atom_site_fract_z
Ca1 Ca 0.0000 0.0000 0.0000
Au1 Au 0.6544 0.8123 0.3123
Cl1 Cl 0.6626 0.3314 0.3283
F1 F 0.4035 0.9358 0.8047
# - Size of the total moment: 0.0 μB per formula unit
# - E above lowest polymorph: 85.2 meV per atom
# - Density: 4.32 g/cm3
# - ΔE_f (raw): -672 kJ/mol of formula units
# - Energy: -3.991 eV per atom
# - Density of states at the Fermi level: 0.42 states/eV per cell

=====

Record 4
# CaAuClF (GGA-PBE, relaxed)
data_CaAuClF
_chemical_formula_sum 'Ca1 Au1 Cl1 F1'
_symmetry_space_group_name_H-M 'P 1 m 1'
_symmetry_Int_Tables_number 6
_symmetry_space_group_name_Hall 'P -2y'
_cell_length_a 4.9016
_cell_length_b 4.2671
_cell_length_c 4.9985
_cell_angle_alpha 90.00
_cell_angle_beta 119.19
_cell_angle_gamma 90.00
loop_
_atom_site_label
_atom_site_type_symbol
_atom_site_fract_x
_atom_site_fract_y
_atom_site_fract_z
Ca1 Ca 0.0000 0.0000 0.0000
Au1 Au 0.7665 0.5000 0.4885
Cl1 Cl 0.2468 0.5000 0.4486
F1 F 0.5492 0.0000 0.0182
# - Size of the total moment: 0.0 μB per formula unit
# - E above lowest polymorph: 177.1 meV per atom
# - Density: 5.30 g/cm3
# - ΔE_f (raw): -637 kJ/mol of formula units
# - Energy: -3.899 eV per atom
# - Density of states at the Fermi level: 0.36 states/eV per cell